1.
Entry from Alexandria via LeMat-Bulk: a relaxed Sr2PrSmSe4 crystal (GGA-PBE).

a b c (Å): 7.4143 4.2839 7.5890
angles (deg): 90.00 109.03 90.00
With the nearest neighbours (Å) after each atom.
Space group P2/m (No. 10)
Asymmetric unit:
Sr 0.0000 0.0000 0.0000 [1 per cell]  6 Se 3.11
Sr 0.5000 0.5000 0.0000 [1 per cell]  6 Se 3.08
Pr 0.0000 0.5000 0.5000 [1 per cell]  6 Se 3.03
Sm 0.5000 0.0000 0.5000 [1 per cell]  6 Se 3.00
Se 0.2513 0.0000 0.7419 [2 per cell]  1 Sm 3.00, 2 Pr 3.03, 3 Sr 3.08-3.11
Se 0.2572 0.5000 0.2608 [2 per cell]  2 Sm 3.00, 1 Pr 3.03, 3 Sr 3.08-3.11

Values from the calculation:
- raw formation energy (kcal/mol of atoms) = -44.2
- crystal system = monoclinic
- ρ (g/cm3) = 5.70
- spin magnetization (μB/cell) = 0.000

2.
Entry from Alexandria via LeMat-Bulk: a relaxed CaP2Br crystal (GGA-PBE).

a b c (Å): 11.8285 3.4446 4.8701
angles (deg): 90.00 99.18 90.00
With the nearest neighbours (Å) after each atom.
Space group C2/m (No. 12)
Asymmetric unit:
Ca 0.0000 0.0000 0.0000 [2 per cell]  4 Br 2.98, 6 P 3.22-3.33
P 0.2323 0.5000 0.1298 [4 per cell]  2 P 2.22
Br 0.0000 0.5000 0.5000 [2 per cell]  4 Ca 2.98

Values from the calculation:
- raw formation energy (kcal/mol of atoms) = -17.1
- crystal system = monoclinic
- ρ (g/cm3) = 3.08
- spin magnetization (μB/cell) = 0.000

3.
Entry from Alexandria via LeMat-Bulk: a relaxed LaGdCuTc crystal (GGA-PBE).

a b c (Å): 7.0788 7.0788 7.0788
angles (deg): 90.00 90.00 90.00
With the nearest neighbours (Å) after each atom.
Space group F-43m (No. 216)
Asymmetric unit:
La 0.0000 0.0000 0.0000 [4 per cell]  4 Tc 3.07, 4 Cu 3.07
Gd 0.0000 0.0000 0.5000 [4 per cell]  4 Cu 3.07, 4 Tc 3.07
Cu 0.2500 0.2500 0.2500 [4 per cell]  4 Gd 3.07, 4 La 3.07
Tc 0.2500 0.2500 0.7500 [4 per cell]  4 Gd 3.07, 4 La 3.07

Values from the calculation:
- crystal system = cubic
- ρ (g/cm3) = 8.57
- spin magnetization (μB/cell) = 27.902
- formation enthalpy at 0 K (meV per atom) = 14